First-principles (PBE) data for a relaxed Pr3Al8Zn3 crystal, as listed in the Alexandria database.

Structure (POSCAR):
```
Pr3Al8Zn3
1.0
-2.1879 5.1073 6.3556
2.1879 -5.1073 6.3556
2.1879 5.1073 -6.3556
Pr Al Zn
3 8 3
Direct
0.0000 0.0000 0.0000 Pr
0.3177 0.3177 0.0000 Pr
0.6823 0.6823 0.0000 Pr
0.0337 0.6645 0.3692 Al
0.1466 0.8692 0.2774 Al
0.2953 0.6645 0.6308 Al
0.4082 0.1308 0.2774 Al
0.5918 0.8692 0.7226 Al
0.7047 0.3355 0.3692 Al
0.8534 0.1308 0.7226 Al
0.9663 0.3355 0.6308 Al
0.2806 0.5000 0.7806 Zn
0.5000 0.0000 0.5000 Zn
0.7194 0.5000 0.2194 Zn
```

Results
- Density: 4.88 g/cm3
- E: -53.43 eV per formula unit
- ΔH_f (0 K): -0.380 eV per atom
- Space group: No. 71
- Crystal system: orthorhombic